No. 1
# YIn2BiRh

A geometry-optimized YIn2BiRh structure (PBE, Alexandria).

- Energy: -5.001 eV per atom
- Total moment: 0.0 μB per cell
- DFT formation energy: -0.366 eV per atom

```
data_YIn2BiRh
_chemical_formula_sum 'Y1 In2 Bi1 Rh1'
_symmetry_space_group_name_H-M 'P 4/m m m'
_symmetry_Int_Tables_number 123
_symmetry_space_group_name_Hall '-P 4 2'
_cell_length_a 5.1282
_cell_length_b 5.1282
_cell_length_c 5.3120
_cell_angle_alpha 90.00
_cell_angle_beta 90.00
_cell_angle_gamma 90.00
loop_
_atom_site_label
_atom_site_type_symbol
_atom_site_fract_x
_atom_site_fract_y
_atom_site_fract_z
Y1 Y 0.0000 0.0000 0.0000
In1 In 0.0000 0.5000 0.5000
Bi1 Bi 0.5000 0.5000 0.0000
Rh1 Rh 0.0000 0.0000 0.5000
```

No. 2
# YInBiRh2

A geometry-optimized YInBiRh2 structure (PBE, Alexandria).

- Energy: -4.976 eV per atom
- Total moment: 0.0 μB per cell
- DFT formation energy: 0.581 eV per atom

```
data_YInBiRh2
_chemical_formula_sum 'Y1 In1 Bi1 Rh2'
_symmetry_space_group_name_H-M 'P 4/m m m'
_symmetry_Int_Tables_number 123
_symmetry_space_group_name_Hall '-P 4 2'
_cell_length_a 4.9162
_cell_length_b 4.9162
_cell_length_c 5.3260
_cell_angle_alpha 90.00
_cell_angle_beta 90.00
_cell_angle_gamma 90.00
loop_
_atom_site_label
_atom_site_type_symbol
_atom_site_fract_x
_atom_site_fract_y
_atom_site_fract_z
Y1 Y 0.0000 0.0000 0.0000
In1 In 0.0000 0.0000 0.5000
Bi1 Bi 0.5000 0.5000 0.0000
Rh1 Rh 0.0000 0.5000 0.5000
```

No. 3
# InBiRu2

A geometry-optimized InBiRu2 structure (PBE, Alexandria).

- Energy: -5.497 eV per atom
- Total moment: 0.0 μB per cell
- DFT formation energy: 0.796 eV per atom

```
data_InBiRu2
_chemical_formula_sum 'In4 Bi4 Ru8'
_symmetry_space_group_name_H-M 'I -4 2 d'
_symmetry_Int_Tables_number 122
_symmetry_space_group_name_Hall 'I -4 2bw'
_cell_length_a 7.2553
_cell_length_b 7.2553
_cell_length_c 6.2273
_cell_angle_alpha 90.00
_cell_angle_beta 90.00
_cell_angle_gamma 90.00
loop_
_atom_site_label
_atom_site_type_symbol
_atom_site_fract_x
_atom_site_fract_y
_atom_site_fract_z
In1 In 0.0000 0.0000 0.0000
Bi1 Bi 0.0000 0.0000 0.5000
Ru1 Ru 0.2474 0.2500 0.6250
```

No. 4
# InBiRu2

A geometry-optimized InBiRu2 structure (PBE, Alexandria).

- Energy: -6.049 eV per atom
- Total moment: 0.0 μB per cell
- DFT formation energy: 0.244 eV per atom

```
data_InBiRu2
_chemical_formula_sum 'In4 Bi4 Ru8'
_symmetry_space_group_name_H-M 'F m -3 m'
_symmetry_Int_Tables_number 225
_symmetry_space_group_name_Hall '-F 4 2 3'
_cell_length_a 6.6019
_cell_length_b 6.6019
_cell_length_c 6.6019
_cell_angle_alpha 90.00
_cell_angle_beta 90.00
_cell_angle_gamma 90.00
loop_
_atom_site_label
_atom_site_type_symbol
_atom_site_fract_x
_atom_site_fract_y
_atom_site_fract_z
In1 In 0.0000 0.0000 0.0000
Bi1 Bi 0.0000 0.0000 0.5000
Ru1 Ru 0.2500 0.2500 0.2500
```

No. 5
# In2BiRu2

A geometry-optimized In2BiRu2 structure (PBE, Alexandria).

- Energy: -5.350 eV per atom
- Total moment: 0.0 μB per cell
- DFT formation energy: 0.231 eV per atom

```
data_In2BiRu2
_chemical_formula_sum 'In4 Bi2 Ru4'
_symmetry_space_group_name_H-M 'P 4/m b m'
_symmetry_Int_Tables_number 127
_symmetry_space_group_name_Hall '-P 4 2ab'
_cell_length_a 7.7011
_cell_length_b 7.7011
_cell_length_c 3.3199
_cell_angle_alpha 90.00
_cell_angle_beta 90.00
_cell_angle_gamma 90.00
loop_
_atom_site_label
_atom_site_type_symbol
_atom_site_fract_x
_atom_site_fract_y
_atom_site_fract_z
In1 In 0.1483 0.3517 0.0000
Bi1 Bi 0.0000 0.0000 0.5000
Ru1 Ru 0.1469 0.6469 0.5000
```

No. 6
# InBiRu3

A geometry-optimized InBiRu3 structure (PBE, Alexandria).

- Energy: -5.166 eV per atom
- Total moment: 2.0 μB per cell
- DFT formation energy: 1.724 eV per atom

```
data_InBiRu3
_chemical_formula_sum 'In1 Bi1 Ru3'
_symmetry_space_group_name_H-M 'P m -3 m'
_symmetry_Int_Tables_number 221
_symmetry_space_group_name_Hall '-P 4 2 3'
_cell_length_a 4.9480
_cell_length_b 4.9480
_cell_length_c 4.9480
_cell_angle_alpha 90.00
_cell_angle_beta 90.00
_cell_angle_gamma 90.00
loop_
_atom_site_label
_atom_site_type_symbol
_atom_site_fract_x
_atom_site_fract_y
_atom_site_fract_z
In1 In 0.0000 0.0000 0.0000
Bi1 Bi 0.5000 0.5000 0.5000
Ru1 Ru 0.0000 0.5000 0.5000
```

No. 7
# In2BiSbRu

A geometry-optimized In2BiSbRu structure (PBE, Alexandria).

- Energy: -4.338 eV per atom
- Total moment: 0.0 μB per cell

```
data_In2BiSbRu
_chemical_formula_sum 'In2 Bi1 Sb1 Ru1'
_symmetry_space_group_name_H-M 'P 4/m m m'
_symmetry_Int_Tables_number 123
_symmetry_space_group_name_Hall '-P 4 2'
_cell_length_a 5.2372
_cell_length_b 5.2372
_cell_length_c 5.0531
_cell_angle_alpha 90.00
_cell_angle_beta 90.00
_cell_angle_gamma 90.00
loop_
_atom_site_label
_atom_site_type_symbol
_atom_site_fract_x
_atom_site_fract_y
_atom_site_fract_z
In1 In 0.0000 0.5000 0.0000
Bi1 Bi 0.0000 0.0000 0.5000
Sb1 Sb 0.5000 0.5000 0.5000
Ru1 Ru 0.5000 0.5000 0.0000
```

No. 8
# InBiRuSe2

A geometry-optimized InBiRuSe2 structure (PBE, Alexandria).

- Energy: -4.294 eV per atom
- Total moment: 0.0 μB per cell

```
data_InBiRuSe2
_chemical_formula_sum 'In1 Bi1 Ru1 Se2'
_symmetry_space_group_name_H-M 'P 4/m m m'
_symmetry_Int_Tables_number 123
_symmetry_space_group_name_Hall '-P 4 2'
_cell_length_a 4.8230
_cell_length_b 4.8230
_cell_length_c 5.4201
_cell_angle_alpha 90.00
_cell_angle_beta 90.00
_cell_angle_gamma 90.00
loop_
_atom_site_label
_atom_site_type_symbol
_atom_site_fract_x
_atom_site_fract_y
_atom_site_fract_z
In1 In 0.0000 0.0000 0.0000
Bi1 Bi 0.5000 0.5000 0.0000
Ru1 Ru 0.0000 0.0000 0.5000
Se1 Se 0.0000 0.5000 0.5000
```

No. 9
# InBiRuW2

A geometry-optimized InBiRuW2 structure (PBE, Alexandria).

- Energy: -5.942 eV per atom
- Total moment: 3.7 μB per cell
- DFT formation energy: 2.418 eV per atom

```
data_InBiRuW2
_chemical_formula_sum 'In1 Bi1 Ru1 W2'
_symmetry_space_group_name_H-M 'P 4/m m m'
_symmetry_Int_Tables_number 123
_symmetry_space_group_name_Hall '-P 4 2'
_cell_length_a 5.0053
_cell_length_b 5.0053
_cell_length_c 4.8488
_cell_angle_alpha 90.00
_cell_angle_beta 90.00
_cell_angle_gamma 90.00
loop_
_atom_site_label
_atom_site_type_symbol
_atom_site_fract_x
_atom_site_fract_y
_atom_site_fract_z
In1 In 0.0000 0.0000 0.0000
Bi1 Bi 0.5000 0.5000 0.5000
Ru1 Ru 0.0000 0.0000 0.5000
W1 W 0.0000 0.5000 0.0000
```

No. 10
# InBiS2

A geometry-optimized InBiS2 structure (PBE, Alexandria).

- Energy: -3.838 eV per atom
- Total moment: 0.0 μB per cell

```
data_InBiS2
_chemical_formula_sum 'In4 Bi4 S8'
_symmetry_space_group_name_H-M 'C m c m'
_symmetry_Int_Tables_number 63
_symmetry_space_group_name_Hall '-C 2c 2'
_cell_length_a 3.6291
_cell_length_b 21.3286
_cell_length_c 5.3740
_cell_angle_alpha 90.00
_cell_angle_beta 90.00
_cell_angle_gamma 90.00
loop_
_atom_site_label
_atom_site_type_symbol
_atom_site_fract_x
_atom_site_fract_y
_atom_site_fract_z
In1 In 0.0000 0.1839 0.2500
Bi1 Bi 0.0000 0.4337 0.2500
S1 S 0.0000 0.3086 0.2500
S2 S 0.0000 0.4115 0.7500
```

No. 11
# InBiS2

A geometry-optimized InBiS2 structure (PBE, Alexandria).

- Energy: -4.014 eV per atom
- Total moment: 0.0 μB per cell

```
data_InBiS2
_chemical_formula_sum 'In16 Bi16 S32'
_symmetry_space_group_name_H-M 'C 1 2/c 1'
_symmetry_Int_Tables_number 15
_cell_length_a 11.1774
_cell_length_b 10.9341
_cell_length_c 16.4893
_cell_angle_alpha 90.00
_cell_angle_beta 97.18
_cell_angle_gamma 90.00
loop_
_symmetry_equiv_pos_as_xyz
'x,y,z'
'-x,-y,-z'
'-x,y,-z+1/2'
'x,-y,z+1/2'
'x+1/2,y+1/2,z'
'-x+1/2,-y+1/2,-z'
'-x+1/2,y+1/2,-z+1/2'
'x+1/2,-y+1/2,z+1/2'
loop_
_atom_site_label
_atom_site_type_symbol
_atom_site_fract_x
_atom_site_fract_y
_atom_site_fract_z
In1 In 0.0998 0.2426 0.1596
In2 In 0.1389 0.0059 0.3311
Bi1 Bi 0.0712 0.4206 0.9465
Bi2 Bi 0.2181 0.3850 0.3728
S1 S 0.0000 0.1347 0.7500
S2 S 0.0000 0.3913 0.2500
S3 S 0.0852 0.1690 0.4278
S4 S 0.2305 0.3610 0.0744
S5 S 0.2449 0.3989 0.7736
```